No. 1
Compound: Pu6HgGe5
Source: Alexandria
Functional: GGA-PBE
Structure: optimized geometry

Properties
- Space group: No. 65
- E_form: -4.35 eV/f.u.

Cell lengths 8.7405, 8.7405, 5.9211 Å; angles 90.00, 90.00, 143.24 degrees
With the nearest neighbours (Å) after each atom.
Positions (direct):
Pu (0.0000, 0.0000, 0.2384)  2 Pu 2.82-3.10, 6 Ge 3.08-3.10, 2 Hg 3.16
Pu (0.0000, 0.0000, 0.7616)  2 Pu 2.82-3.10, 6 Ge 3.08-3.10, 2 Hg 3.16
Pu (0.3260, 0.6740, 0.2463)  2 Pu 2.92-3.00, 7 Ge 3.05-3.23, 1 Hg 3.25
Pu (0.3260, 0.6740, 0.7537)  2 Pu 2.92-3.00, 7 Ge 3.05-3.23, 1 Hg 3.25
Pu (0.6740, 0.3260, 0.2463)  2 Pu 2.92-3.00, 7 Ge 3.05-3.23, 1 Hg 3.25
Pu (0.6740, 0.3260, 0.7537)  2 Pu 2.92-3.00, 7 Ge 3.05-3.23, 1 Hg 3.25
Hg (0.5000, 0.5000, 0.5000)  2 Ge 2.96, 8 Pu 3.16-3.25
Ge (0.1621, 0.8379, 0.5000)  2 Ge 2.96, 8 Pu 3.10-3.15
Ge (0.1648, 0.8352, 0.0000)  2 Ge 2.96, 8 Pu 3.05-3.12
Ge (0.5000, 0.5000, 0.0000)  2 Hg 2.96, 8 Pu 3.10-3.23
Ge (0.8352, 0.1648, 0.0000)  2 Ge 2.96, 8 Pu 3.05-3.12
Ge (0.8379, 0.1621, 0.5000)  2 Ge 2.96, 8 Pu 3.10-3.15

***

No. 2
Compound: ZnSb2P
Source: Alexandria
Functional: GGA-PBE
Structure: optimized geometry

Properties
- ΔE_f (raw): 0.428 eV/atom
- Space group: No. 216
- ΔE to the lowest computed polymorph: 335 meV per atom

Cell lengths 4.9953, 4.9953, 4.9953 Å; angles 60.00, 60.00, 60.00 degrees
With the nearest neighbours (Å) after each atom.
Positions (direct):
Zn (0.0000, 0.0000, 0.0000)  4 Sb 3.06, 4 P 3.06
Sb (0.5000, 0.5000, 0.5000)  4 P 3.06, 4 Sb 3.06
Sb (0.7500, 0.7500, 0.7500)  4 Sb 3.06, 4 Zn 3.06
P (0.2500, 0.2500, 0.2500)  4 Sb 3.06, 4 Zn 3.06

***

No. 3
Compound: SbPOsS2
Source: Alexandria
Functional: GGA-PBE
Structure: optimized geometry

Properties
- ΔE_f (raw): 0.563 eV/atom
- Space group: No. 123
- ΔE to the lowest computed polymorph: 0 meV per atom

Cell lengths 4.7816, 4.7816, 4.4662 Å; angles 90.00, 90.00, 90.00 degrees
With the nearest neighbours (Å) after each atom.
Positions (direct):
Sb (0.0000, 0.0000, 0.0000)  8 S 3.27, 4 P 3.38
P (0.5000, 0.5000, 0.0000)  2 Os 2.23
Os (0.5000, 0.5000, 0.5000)  2 P 2.23, 4 S 2.39
S (0.0000, 0.5000, 0.5000)  2 Os 2.39
S (0.5000, 0.0000, 0.5000)  2 Os 2.39

***

No. 4
Compound: Ac8Rh3AuCl4
Source: Alexandria
Functional: GGA-PBE
Structure: optimized geometry

Properties
- ΔE_f (raw): -1.225 eV/atom
- Space group: No. 12

Cell lengths 8.7744, 8.7744, 9.4399 Å; angles 117.78, 117.78, 60.02 degrees
With the nearest neighbours (Å) after each atom.
Positions (direct):
Ac (0.2234, 0.7411, 0.7046)  2 Rh 2.97-2.98, 1 Au 3.09
Ac (0.2350, 0.2350, 0.7041)  3 Rh 3.01
Ac (0.2590, 0.2590, 0.2955)  2 Rh 2.97, 1 Au 3.09
Ac (0.2589, 0.7766, 0.2954)  2 Rh 2.97-2.98, 1 Au 3.09
Ac (0.7411, 0.2234, 0.7046)  2 Rh 2.97-2.98, 1 Au 3.09
Ac (0.7410, 0.7410, 0.7045)  2 Rh 2.97, 1 Au 3.09
Ac (0.7650, 0.7650, 0.2959)  3 Rh 3.01
Ac (0.7766, 0.2589, 0.2954)  2 Rh 2.97-2.98, 1 Au 3.09
Rh (0.0000, 0.0000, 0.5000)  6 Ac 2.97-3.01
Rh (0.0000, 0.5000, 0.5000)  6 Ac 2.97-3.01
Rh (0.5000, 0.0000, 0.5000)  6 Ac 2.97-3.01
Au (0.5000, 0.5000, 0.5000)  6 Ac 3.09
Cl (0.0000, 0.0000, 0.0000)  6 Ac 3.38-3.39
Cl (0.0000, 0.5000, 0.0000)  6 Ac 3.46-3.49
Cl (0.5000, 0.0000, 0.0000)  6 Ac 3.46-3.49
Cl (0.5000, 0.5000, 0.0000)  6 Ac 3.45-3.49

***

No. 5
Compound: CaOs2Rh
Source: Alexandria
Functional: GGA-PBE
Structure: optimized geometry

Properties
- Space group: No. 10
- ΔE to the lowest computed polymorph: 242 meV per atom
- E_form: 1.84 eV/f.u.

Cell lengths 2.7874, 4.8962, 4.8646 Å; angles 90.00, 96.92, 90.00 degrees
With the nearest neighbours (Å) after each atom.
Positions (direct):
Ca (0.0000, 0.0000, 0.0000)  4 Rh 2.65-2.95, 2 Ca 2.79, 4 Os 2.95
Os (0.3173, 0.5000, 0.7364)  5 Os 2.63-2.79, 2 Rh 2.78
Os (0.6827, 0.5000, 0.2636)  5 Os 2.63-2.79, 2 Rh 2.78
Rh (0.5000, 0.0000, 0.5000)  4 Ca 2.65-2.95, 4 Os 2.78, 2 Rh 2.79

***

No. 6
Compound: Os3Pt
Source: Alexandria
Functional: GGA-PBE
Structure: optimized geometry

Properties
- Space group: No. 223
- E_form: 2.63 eV/f.u.

Cell lengths 4.9420, 4.9420, 4.9420 Å; angles 90.00, 90.00, 90.00 degrees
With the nearest neighbours (Å) after each atom.
Positions (direct):
Os (0.0000, 0.2500, 0.5000)  2 Os 2.47, 4 Pt 2.76
Os (0.0000, 0.7500, 0.5000)  2 Os 2.47, 4 Pt 2.76
Os (0.2500, 0.5000, 0.0000)  2 Os 2.47, 4 Pt 2.76
Os (0.5000, 0.0000, 0.2500)  2 Os 2.47, 4 Pt 2.76
Os (0.5000, 0.0000, 0.7500)  2 Os 2.47, 4 Pt 2.76
Os (0.7500, 0.5000, 0.0000)  2 Os 2.47, 4 Pt 2.76
Pt (0.0000, 0.0000, 0.0000)  12 Os 2.76
Pt (0.5000, 0.5000, 0.5000)  12 Os 2.76

***

No. 7
Compound: La5Ge2SN
Source: Alexandria
Functional: GGA-PBE
Structure: optimized geometry

Properties
- ΔE_f (raw): -1.071 eV/atom
- Space group: No. 123

Cell lengths 4.7614, 4.7614, 11.1951 Å; angles 90.00, 90.00, 90.00 degrees
With the nearest neighbours (Å) after each atom.
Positions (direct):
La (0.0000, 0.0000, 0.0000)  2 Ge 3.19, 4 S 3.37
La (0.0000, 0.5000, 0.5000)  2 N 2.38
La (0.5000, 0.0000, 0.5000)  2 N 2.38
La (0.5000, 0.5000, 0.2488)  1 S 2.78, 1 N 2.81
La (0.5000, 0.5000, 0.7512)  1 S 2.78, 1 N 2.81
Ge (0.0000, 0.0000, 0.2852)  9 La 3.19-3.39
Ge (0.0000, 0.0000, 0.7148)  9 La 3.19-3.39
S (0.5000, 0.5000, 0.0000)  2 La 2.78
N (0.5000, 0.5000, 0.5000)  4 La 2.38

***

No. 8
Compound: Cu2AsCl
Source: Alexandria
Functional: GGA-PBE
Structure: optimized geometry

Properties
- ΔE_f (raw): -0.010 eV/atom
- Space group: No. 8
- ΔE to the lowest computed polymorph: 72 meV per atom

Cell lengths 4.2758, 4.2758, 6.0063 Å; angles 102.68, 102.68, 47.89 degrees
With the nearest neighbours (Å) after each atom.
Positions (direct):
Cu (0.0000, 0.0000, 0.0000)  1 Cl 2.19
Cu (0.7402, 0.7402, 0.1802)  3 As 2.39-2.44, 3 Cu 2.52-2.59
As (0.4647, 0.4647, 0.2878)  5 Cu 2.39-2.51
Cl (0.1280, 0.1280, 0.7140)  1 Cu 2.19

***

No. 9
Compound: LaMnOs2
Source: Alexandria
Functional: GGA-PBE
Structure: optimized geometry

Properties
- Space group: No. 119
- ΔE to the lowest computed polymorph: 312 meV per atom
- E_form: 2.36 eV/f.u.

Cell lengths 4.6355, 4.6355, 4.6355 Å; angles 119.95, 119.95, 90.08 degrees
With the nearest neighbours (Å) after each atom.
Positions (direct):
La (0.0000, 0.0000, 0.0000)  4 Mn 2.84, 4 Os 2.84
Mn (0.7500, 0.2500, 0.5000)  4 La 2.84, 4 Os 2.84
Os (0.2500, 0.7500, 0.5000)  4 La 2.84, 4 Os 2.84
Os (0.5000, 0.5000, 0.0000)  4 Mn 2.84, 4 Os 2.84

***

No. 10
Compound: KRuPt2
Source: Alexandria
Functional: GGA-PBE
Structure: optimized geometry

Properties
- Space group: No. 12
- ΔE to the lowest computed polymorph: 15 meV per atom
- E_form: 0.66 eV/f.u.

Cell lengths 6.8739, 6.8739, 6.3647 Å; angles 110.78, 110.78, 38.57 degrees
With the nearest neighbours (Å) after each atom.
Positions (direct):
K (0.1623, 0.1623, 0.0052)  5 Pt 3.06-3.38, 2 K 3.23
K (0.8377, 0.8377, 0.9948)  5 Pt 3.06-3.38, 2 K 3.23
Ru (0.4201, 0.4201, 0.5921)  4 Pt 2.41-2.67
Ru (0.5799, 0.5799, 0.4079)  4 Pt 2.41-2.67
Pt (0.0000, 0.0000, 0.5000)  2 Pt 2.60, 4 Ru 2.65
Pt (0.2023, 0.2023, 0.5103)  3 Pt 2.60-2.61, 3 Ru 2.67-2.71
Pt (0.5000, 0.5000, 0.0000)  2 Ru 2.41
Pt (0.7977, 0.7977, 0.4897)  3 Pt 2.60-2.61, 3 Ru 2.67-2.71

***

No. 11
Compound: Mg2Ag2Au
Source: Alexandria
Functional: GGA-PBE
Structure: optimized geometry

Properties
- Space group: No. 139
- ΔE to the lowest computed polymorph: 393 meV per atom
- E_form: 0.46 eV/f.u.

Cell lengths 7.0001, 7.0001, 7.0001 Å; angles 146.92, 146.92, 47.48 degrees
With the nearest neighbours (Å) after each atom.
Positions (direct):
Mg (0.2500, 0.7500, 0.5000)  4 Ag 2.74, 4 Mg 2.82
Mg (0.7500, 0.2500, 0.5000)  4 Ag 2.74, 4 Mg 2.82
Ag (0.1030, 0.1030, 0.0000)  1 Ag 2.64, 4 Mg 2.74
Ag (0.8970, 0.8970, 0.0000)  1 Ag 2.64, 4 Mg 2.74
Au (0.5000, 0.5000, 0.0000)  8 Ag 3.11

***

No. 12
Compound: LiThZnIr
Source: Alexandria
Functional: GGA-PBE
Structure: optimized geometry

Properties
- Space group: No. 216
- E_form: -1.56 eV/f.u.

Cell lengths 4.7520, 4.7520, 4.7520 Å; angles 60.00, 60.00, 60.00 degrees
With the nearest neighbours (Å) after each atom.
Positions (direct):
Li (0.0000, 0.0000, 0.0000)  4 Th 2.91, 4 Zn 2.91
Th (0.2500, 0.2500, 0.2500)  4 Ir 2.91, 4 Li 2.91
Zn (0.7500, 0.7500, 0.7500)  4 Ir 2.91, 4 Li 2.91
Ir (0.5000, 0.5000, 0.5000)  4 Zn 2.91, 4 Th 2.91